# Y2TlPb (PBE-GGA, optimized geometry)
# DOS(E_F) in states/eV per cell: 3.298
# Energy of formation in kJ/mol of formula units: -175
data_Y2TlPb
_chemical_formula_sum 'Y2 Tl1 Pb1'
_symmetry_space_group_name_H-M 'P 1 m 1'
_symmetry_Int_Tables_number 6
_cell_length_a 4.599
_cell_length_b 4.371
_cell_length_c 6.233
_cell_angle_alpha 90.00
_cell_angle_beta 111.64
_cell_angle_gamma 90.00
loop_
_symmetry_equiv_pos_as_xyz
'x,y,z'
'x,-y,z'
loop_
_atom_site_label
_atom_site_fract_x
_atom_site_fract_y
_atom_site_fract_z
Y1 0.000 0.000 0.000
Y2 0.265 0.500 0.531
Tl1 0.534 0.500 0.068
Pb1 0.724 0.000 0.451